# 1
{
  "formula": "Cs3Rb5Hg2",
  "functional": "PBE-GGA",
  "state": "optimized geometry",
  "lattice_angstrom": [[16.332, 0.000, 0.000], [0.000, 16.332, 0.000], [0.000, 0.000, 5.610]],
  "species": ["Cs", "Cs", "Cs", "Cs", "Cs", "Cs", "Rb", "Rb", "Rb", "Rb", "Rb", "Rb", "Rb", "Rb", "Rb", "Rb", "Hg", "Hg", "Hg", "Hg"],
  "frac_coords": [[0.000, 0.000, 0.000], [0.171, 0.329, 0.000], [0.329, 0.829, 0.000], [0.500, 0.500, 0.000], [0.671, 0.171, 0.000], [0.829, 0.671, 0.000], [0.000, 0.500, 0.500], [0.073, 0.772, 0.500], [0.228, 0.073, 0.500], [0.272, 0.573, 0.500], [0.427, 0.272, 0.500], [0.500, 0.000, 0.500], [0.573, 0.728, 0.500], [0.728, 0.427, 0.500], [0.772, 0.927, 0.500], [0.927, 0.228, 0.500], [0.118, 0.618, 0.000], [0.382, 0.118, 0.000], [0.618, 0.882, 0.000], [0.882, 0.382, 0.000]],
  "formation_enthalpy_0k_ev_per_fu": -0.8,
  "space_group": "P4/mbm",
  "density_g_cm3": 2.72
}

***

# 2
{
  "formula": "TeMoPt2",
  "functional": "PBE-GGA",
  "state": "optimized geometry",
  "lattice_angstrom": [[4.562, 0.000, 0.000], [0.000, 3.169, 0.000], [-1.298, 0.000, 4.794]],
  "species": ["Te", "Mo", "Pt", "Pt"],
  "frac_coords": [[0.000, 0.000, 0.000], [0.500, 0.500, 0.000], [0.000, 0.500, 0.500], [0.500, 0.000, 0.500]],
  "e_form_raw_ev_per_atom": 0.18,
  "space_group": "P2/m",
  "density_g_cm3": 14.71
}

***

# 3
{
  "formula": "MgSc3",
  "functional": "PBE-GGA",
  "state": "optimized geometry",
  "lattice_angstrom": [[3.266, 0.000, 0.000], [0.000, 5.261, 0.000], [0.000, 0.000, 5.633]],
  "species": ["Mg", "Sc", "Sc", "Sc"],
  "frac_coords": [[0.000, 0.000, 0.000], [0.000, 0.500, 0.334], [0.500, 0.000, 0.493], [0.500, 0.500, 0.829]],
  "formation_enthalpy_0k_ev_per_fu": 0.2,
  "space_group": "Pmm2",
  "density_g_cm3": 2.73,
  "polymorph_energy_ev_per_atom": 0.0518
}